TlNiIrCl6: optimized geometry, PBE-GGA.

Density   4553 kg/m³
Calculated volume   243.6 Å³/cell
Formation energy from raw total energies   -5.69 eV/f.u.

a = 6.2356 Å, b = 6.2356 Å, c = 7.2350 Å
α = 90.00°, β = 90.00°, γ = 120.00°
Last column: nearest neighbours and their distance in Å.
Space group P312 (No. 149)
Inequivalent atoms, fractional coordinates:
1 Tl 0.0000 0.0000 0.0000 x1  6 Cl 3.23
2 Ni 0.3333 0.6667 0.5000 x1  6 Cl 2.42
3 Ir 0.6667 0.3333 0.5000 x1  6 Cl 2.36
4 Cl 0.3668 0.0063 0.6827 x6  1 Ir 2.36, 1 Ni 2.42

Cs2Tl2ZnF6: optimized geometry, PBE-GGA.

Density   5212 kg/m³
Calculated volume   544.1 Å³/cell
Fermi-level density of states   0.000 states/eV per atom
Formation energy from raw total energies   -24.55 eV/f.u.

a = 7.2082 Å, b = 12.1644 Å, c = 6.3789 Å
α = 90.00°, β = 103.38°, γ = 90.00°
Last column: nearest neighbours and their distance in Å.
Space group C2/m (No. 12)
Inequivalent atoms, fractional coordinates:
1 Cs 0.0000 0.1583 0.0000 x4  6 F 2.92-3.19
2 Tl 0.0000 0.3484 0.5000 x4  4 F 2.55-2.65
3 Zn 0.0000 0.5000 0.0000 x2  6 F 2.05-2.25
4 F 0.1644 0.3786 0.1733 x8  1 Zn 2.05
5 F 0.1706 0.5000 0.7467 x4  1 Zn 2.25

AlCd2Pb: optimized geometry, PBE-GGA.

Density   7800 kg/m³
Distance to the lowest polymorph of the same formula   0.036 eV per atom
Calculated volume   195.4 Å³/cell
DFT formation energy   147 meV per atom
Fermi-level density of states   0.380 states/eV per atom

a = 9.6312 Å, b = 3.4424 Å, c = 6.0041 Å
α = 90.00°, β = 100.96°, γ = 90.00°
Last column: nearest neighbours and their distance in Å.
Space group Cm (No. 8)
Inequivalent atoms, fractional coordinates:
1 Al 0.0000 0.0000 0.0000 x2  5 Cd 2.98-3.15, 3 Pb 3.13-3.14
2 Cd 0.2423 0.5000 0.2130 x2  3 Al 2.98-3.00, 3 Cd 2.99-3.04
3 Cd 0.4899 0.0000 0.4359 x2  3 Cd 2.99-3.04, 2 Al 3.15, 3 Pb 3.18-3.28
4 Pb 0.2509 0.0000 0.7348 x2  3 Al 3.13-3.14, 5 Cd 3.18-3.36, 2 Pb 3.44

Ba4BeIn: optimized geometry, PBE-GGA.

Density   4187 kg/m³
Calculated volume   1068.0 Å³/cell
DFT formation energy   714 meV per atom
Fermi-level density of states   1.448 states/eV per atom

a = 10.2216 Å, b = 10.2216 Å, c = 10.2216 Å
α = 90.00°, β = 90.00°, γ = 90.00°
Last column: nearest neighbours and their distance in Å.
Space group F-43m (No. 216)
Inequivalent atoms, fractional coordinates:
1 Ba 0.1252 0.1252 0.1252 x16  6 Ba 3.61-3.62
2 Be 0.2500 0.2500 0.7500 x4  12 Ba 4.24, 4 In 4.43
3 In 0.0000 0.0000 0.5000 x4  12 Ba 4.24, 4 Be 4.43

ThBiSb: optimized geometry, PBE-GGA.

Density   10453 kg/m³
Distance to the lowest polymorph of the same formula   0.385 eV per atom
Calculated volume   89.4 Å³/cell
Fermi-level density of states   0.330 states/eV per atom
Formation energy from raw total energies   -0.88 eV/f.u.

a = 5.5748 Å, b = 5.5748 Å, c = 3.3216 Å
α = 90.00°, β = 90.00°, γ = 120.00°
Last column: nearest neighbours and their distance in Å.
Space group P3m1 (No. 156)
Inequivalent atoms, fractional coordinates:
1 Th 0.0000 0.0000 0.0000 x1  2 Th 3.32, 6 Sb 3.62-3.63, 6 Bi 3.62
2 Bi 0.3333 0.6667 0.4996 x1  3 Sb 3.22, 2 Bi 3.32
3 Sb 0.6667 0.3333 0.4969 x1  3 Bi 3.22, 2 Sb 3.32

KBe2Cr: optimized geometry, PBE-GGA.

Density   3118 kg/m³
Distance to the lowest polymorph of the same formula   0.256 eV per atom
Calculated volume   58.1 Å³/cell
DFT formation energy   857 meV per atom
Fermi-level density of states   0.442 states/eV per atom

a = 2.6550 Å, b = 2.6550 Å, c = 8.2453 Å
α = 90.00°, β = 90.00°, γ = 90.00°
Last column: nearest neighbours and their distance in Å.
Space group P4mm (No. 99)
Inequivalent atoms, fractional coordinates:
1 K 0.0000 0.0000 0.0000 x1  4 K 2.65
2 Be 0.0000 0.0000 0.4602 x1  4 Be 2.15, 4 Cr 2.38
3 Be 0.5000 0.5000 0.3320 x1  4 Be 2.15
4 Cr 0.5000 0.5000 0.6379 x1  5 Be 2.38-2.52, 4 Cr 2.65